Entry 1:
VASP calculation (PBE-GGA) on a relaxed structure of SmNbBi.

Summary:
VASP energy in eV/atom: -5.49

Cell and atoms, written as POSCAR:
```
SmNbBi
1.0
0.000 3.654 3.654
3.654 0.000 3.654
3.654 3.654 0.000
Bi Nb Sm
1 1 1
direct
0.250 0.250 0.250
0.750 0.750 0.750
0.000 0.000 0.000
```


Entry 2:
VASP calculation (PBE-GGA) on a relaxed structure of NbSnBi.

Summary:
VASP energy in eV/atom: -5.54

Cell and atoms, written as POSCAR:
```
NbSnBi
1.0
-0.842 -1.261 4.643
0.671 3.259 3.576
-3.848 1.849 2.373
Bi Nb Sn
1 1 1
direct
0.500 0.500 0.500
0.250 0.250 0.250
0.000 0.000 0.000
```


Entry 3:
VASP calculation (PBE-GGA) on a relaxed structure of TaNb2Bi2.

Summary:
VASP energy in eV/atom: -7.22

Cell and atoms, written as POSCAR:
```
TaNb2Bi2
1.0
5.331 -5.678 2.605
6.366 -0.998 5.091
-7.545 2.657 -1.861
Bi Nb Ta
2 2 1
direct
0.398 0.398 0.000
0.602 0.602 0.000
0.750 0.250 0.500
0.250 0.750 0.500
0.000 0.000 0.000
```